First-principles (PBE-GGA) data for a relaxed Tm2MnIn crystal, as listed in Alexandria via LeMat-Bulk.

abc: 3.5665 3.5665 7.4160
angles: 90.00 90.00 90.00
Last column: nearest neighbours and their distance in Å.
Sites, in units of the cell vectors:
Tm: 0.0000 0.0000 0.7725  4 Mn 3.03, 4 In 3.23, 1 Tm 3.37
Tm: 0.0000 0.0000 0.2275  4 Mn 3.03, 4 In 3.23, 1 Tm 3.37
Mn: 0.5000 0.5000 0.0000  8 Tm 3.03
In: 0.5000 0.5000 0.5000  8 Tm 3.23, 4 In 3.57

E above lowest polymorph   0.000 eV/atom
Calculated total energy   -21.52 eV for the cell shown
Energy relative to the elements   -168 meV per atom
Total moment   3.1 μB/f.u.
Crystal system   tetragonal

---

First-principles (PBE-GGA) data for a relaxed Tm2MnIn crystal, as listed in Alexandria via LeMat-Bulk.

abc: 4.1810 4.7441 4.7441
angles: 90.00 90.00 90.00
Last column: nearest neighbours and their distance in Å.
Sites, in units of the cell vectors:
Tm: 0.0000 0.0000 0.5000  4 In 3.16, 4 Mn 3.16, 4 Tm 3.35
Tm: 0.0000 0.5000 0.0000  4 Mn 3.16, 4 In 3.16, 4 Tm 3.35
Mn: 0.5000 0.5000 0.5000  8 Tm 3.16, 4 In 3.35
In: 0.5000 0.0000 0.0000  8 Tm 3.16, 4 Mn 3.35

E above lowest polymorph   0.064 eV/atom
Calculated total energy   -21.27 eV for the cell shown
Energy relative to the elements   -104 meV per atom
Total moment   3.2 μB/f.u.
Crystal system   tetragonal

---

First-principles (PBE-GGA) data for a relaxed TmMnIn2 crystal, as listed in Alexandria via LeMat-Bulk.

abc: 4.4311 4.4758 4.4758
angles: 90.00 90.00 90.00
Last column: nearest neighbours and their distance in Å.
Sites, in units of the cell vectors:
Tm: 0.5000 0.5000 0.5000  8 In 3.15, 4 Mn 3.16
Mn: 0.5000 0.0000 0.0000  8 In 3.15, 4 Tm 3.16
In: 0.0000 0.0000 0.5000  4 Mn 3.15, 4 Tm 3.15, 4 In 3.16
In: 0.0000 0.5000 0.0000  4 Mn 3.15, 4 Tm 3.15, 4 In 3.16

Calculated total energy   -19.56 eV for the cell shown
Energy relative to the elements   -109 meV per atom
Total moment   4.0 μB/f.u.
Crystal system   tetragonal